## SiAg2Sb (GGA-PBE)

Data for a relaxed SiAg2Sb crystal.

Values from the calculation:
energy above the lowest structure with this stoichiometry	0.0641	eV/atom
E_form (uncorrected)	308.1	meV/atom

Unit cell a=3.032 b=4.055 c=6.526 alpha=90.00 beta=90.00 gamma=90.00
Space group Pmmm (No. 47)
Unique sites:
Si 0.000 0.000 0.000
Ag 0.500 0.500 0.218
Sb 0.000 0.000 0.500

***

## CaCe2PdN4 (GGA-PBE)

Data for a relaxed CaCe2PdN4 crystal.

Values from the calculation:
E_form (uncorrected)	-785.7	meV/atom

Unit cell a=3.516 b=11.819 c=12.009 alpha=90.00 beta=90.00 gamma=90.00
Space group Cmcm (No. 63)
Unique sites:
Ca 0.000 0.110 0.250
Ce 0.000 0.370 0.051
Pd 0.000 0.151 0.750
N 0.000 0.000 0.000
N 0.000 0.261 0.606
N 0.000 0.451 0.250